Material: La2Y2Pd
Method: DFT, PBE-GGA
State: optimized geometry

Cell: 7.3879 7.3879 5.7858 Å, 90.00 90.00 90.00°
Closest atoms and distances in Å follow each position.
Space group P4/mbm (No. 127)
Asymmetric unit:
La1 0.1622 0.3378 0.0000 (multiplicity 4)  1 La 3.39, 6 Y 3.46-3.73
Y1 0.1570 0.6570 0.5000 (multiplicity 4)  2 Pd 2.79
Pd1 0.0000 0.0000 0.5000 (multiplicity 2)  4 Y 2.79

Summary:
Offset from the most stable computed form   0 meV per atom
E_form   -0.18 eV/atom

***

Material: Er2IrBr
Method: DFT, PBE-GGA
State: optimized geometry

Cell: 3.3953 3.3953 8.1683 Å, 90.00 90.00 90.00°
Closest atoms and distances in Å follow each position.
Space group P4/mmm (No. 123)
Asymmetric unit:
Er1 0.0000 0.0000 0.2028 (multiplicity 2)  4 Ir 2.92
Ir1 0.5000 0.5000 0.0000 (multiplicity 1)  8 Er 2.92
Br1 0.5000 0.5000 0.5000 (multiplicity 1)  4 Br 3.40, 8 Er 3.41

Summary:
Offset from the most stable computed form   183 meV per atom
Formation energy without anion corrections   -928 meV/atom

***

Material: BaSr2W
Method: DFT, PBE-GGA
State: optimized geometry

Cell: 3.8382 3.8382 36.6042 Å, 90.00 90.00 120.00°
Closest atoms and distances in Å follow each position.
Space group R-3m (No. 166, hexagonal axes)
Asymmetric unit:
Ba1 0.0000 0.0000 0.0000 (multiplicity 3)  6 Ba 3.84
Sr1 0.0000 0.0000 0.2301 (multiplicity 6)  3 W 3.21
W1 0.0000 0.0000 0.5000 (multiplicity 3)  6 Sr 3.21

Summary:
Offset from the most stable computed form   137 meV per atom
E_form   1.12 eV/atom

***

Material: Rb2CrGeS4
Method: DFT, PBE-GGA
State: optimized geometry

Cell: 10.3238 8.1240 7.3045 Å, 90.00 134.95 90.00°
Closest atoms and distances in Å follow each position.
Space group C2 (No. 5)
Asymmetric unit:
Rb1 0.0000 0.0000 0.0000 (multiplicity 2)  8 S 3.48-3.52
Rb2 0.0000 0.2511 0.5000 (multiplicity 2)  4 S 3.25
Cr1 0.0000 0.7504 0.5000 (multiplicity 2)  4 S 2.38
Ge1 0.0000 0.5000 0.0000 (multiplicity 2)  4 S 2.27
S1 0.1362 0.6444 0.3646 (multiplicity 4)  1 Ge 2.27, 1 Cr 2.38
S2 0.2284 0.3553 0.0921 (multiplicity 4)  1 Ge 2.27, 1 Cr 2.38

Summary:
Formation energy without anion corrections   -775 meV/atom

***

Material: NaTeH2O4
Method: DFT, PBE-GGA
State: optimized geometry

Cell: 4.6766 6.1928 6.4054 Å, 90.00 90.00 90.00°
Closest atoms and distances in Å follow each position.
Space group I222 (No. 23)
Asymmetric unit:
Na1 0.0000 0.0000 0.0000 (multiplicity 2)  4 O 2.44
Te1 0.0000 0.0000 0.5000 (multiplicity 2)  4 O 1.97
H1 0.0000 0.5000 0.1892 (multiplicity 4)  2 O 1.23
O1 0.2162 0.3875 0.8003 (multiplicity 8)  1 H 1.23

Summary:
Total energy   -4.7845 eV/atom

***

Material: Tb9Sm3Y2
Method: DFT, PBE-GGA
State: optimized geometry

Cell: 6.2979 8.7447 8.8709 Å, 79.76 76.00 87.01°
Closest atoms and distances in Å follow each position.
Space group P1 (No. 1)
Asymmetric unit:
Tb1 0.0000 0.0000 0.0000 (multiplicity 1)  3 Tb 3.22-3.52, 2 Sm 3.36-3.60, 1 Y 3.44
Tb2 0.0136 0.5204 0.1673 (multiplicity 1)  4 Tb 3.33-3.58, 2 Y 3.39-3.62, 2 Sm 3.57-3.61
Tb3 0.1394 0.0842 0.5968 (multiplicity 1)  7 Tb 3.39-3.61, 2 Y 3.57-3.58, 3 Sm 3.58-3.74
Tb4 0.2804 0.1477 0.1969 (multiplicity 1)  5 Tb 3.21-3.58, 3 Sm 3.45-3.57, 1 Y 3.55
Tb5 0.3920 0.4415 0.3975 (multiplicity 1)  3 Sm 3.36-3.52, 7 Tb 3.47-3.73, 1 Y 3.73
Tb6 0.4683 0.7486 0.5960 (multiplicity 1)  4 Tb 3.50-3.70, 4 Y 3.54-3.62, 3 Sm 3.68-3.76
Tb7 0.5739 0.0592 0.8017 (multiplicity 1)  3 Sm 3.37-3.69, 8 Tb 3.52-3.74, 1 Y 3.56
Tb8 0.6789 0.3687 0.9959 (multiplicity 1)  3 Tb 3.21-3.50, 1 Y 3.43, 2 Sm 3.51-3.54
Tb9 0.8272 0.4209 0.5833 (multiplicity 1)  7 Tb 3.45-3.63, 2 Y 3.51-3.61, 3 Sm 3.62-3.78
Sm1 0.2387 0.3716 0.8118 (multiplicity 1)  10 Tb 3.37-3.68, 1 Y 3.59
Sm2 0.5525 0.7829 0.1652 (multiplicity 1)  6 Tb 3.36-3.69, 2 Y 3.45-3.59
Sm3 0.7222 0.1259 0.3666 (multiplicity 1)  10 Tb 3.38-3.76, 1 Y 3.42
Y1 0.0262 0.7913 0.3948 (multiplicity 1)  8 Tb 3.39-3.73, 2 Sm 3.42-3.45, 1 Y 3.42
Y2 0.9071 0.7178 0.7985 (multiplicity 1)  1 Y 3.42, 8 Tb 3.43-3.62, 2 Sm 3.59

Summary:
E_form   0.11 eV/atom

***

Material: Er5Cu2Pb
Method: DFT, PBE-GGA
State: optimized geometry

Cell: 7.8449 7.8449 13.0381 Å, 90.00 90.00 90.00°
Closest atoms and distances in Å follow each position.
Space group I4/mcm (No. 140)
Asymmetric unit:
Er1 0.0000 0.0000 0.0000 (multiplicity 4)  4 Cu 3.08, 2 Pb 3.26
Er2 0.1559 0.3441 0.1400 (multiplicity 16)  3 Cu 2.90-3.00
Cu1 0.1297 0.3703 0.5000 (multiplicity 8)  1 Cu 2.88, 8 Er 2.90-3.08
Pb1 0.0000 0.0000 0.2500 (multiplicity 4)  10 Er 3.26-3.29

Summary:
E_form   -0.29 eV/atom

***

Material: CoAsOs2
Method: DFT, PBE-GGA
State: optimized geometry

Cell: 2.7811 3.6486 5.4982 Å, 90.00 90.00 90.00°
Closest atoms and distances in Å follow each position.
Space group Pmm2 (No. 25)
Asymmetric unit:
Co1 0.0000 0.0000 0.0000 (multiplicity 1)  4 As 2.54, 6 Os 2.66-2.84, 2 Co 2.78
As1 0.5000 0.5000 0.8027 (multiplicity 1)  1 Os 2.50, 4 Co 2.54, 2 As 2.78
Os1 0.0000 0.0000 0.4832 (multiplicity 1)  6 Os 2.61-2.78, 2 Co 2.66-2.84, 4 As 2.89
Os2 0.5000 0.5000 0.2582 (multiplicity 1)  1 As 2.50, 6 Os 2.61-2.78, 4 Co 2.70

Summary:
E_form   0.33 eV/atom

***

Material: Tb5Ni2I2
Method: DFT, PBE-GGA
State: optimized geometry

Cell: 16.0715 7.7806 7.8175 Å, 90.00 90.00 90.00°
Closest atoms and distances in Å follow each position.
Space group Cmce (No. 64)
Asymmetric unit:
Tb1 0.0000 0.0000 0.0000 (multiplicity 4)  4 Ni 3.02-3.05
Tb2 0.1069 0.1554 0.3434 (multiplicity 16)  3 Ni 2.85-2.88
Ni1 0.0000 0.1352 0.6335 (multiplicity 8)  8 Tb 2.85-3.05, 1 Ni 2.96
I1 0.2110 0.0000 0.0000 (multiplicity 8)  7 Tb 3.39

Summary:
Formation energy without anion corrections   -543 meV/atom

***

Material: TaSnSe
Method: DFT, PBE-GGA
State: optimized geometry

Cell: 3.3408 3.3408 6.8606 Å, 90.00 90.00 120.00°
Closest atoms and distances in Å follow each position.
Space group P3m1 (No. 156)
Asymmetric unit:
Ta1 0.0000 0.0000 0.0000 (multiplicity 1)  3 Se 2.57
Sn1 0.3333 0.6667 0.6629 (multiplicity 1)  3 Ta 3.01, 6 Sn 3.34
Se1 0.6667 0.3333 0.2476 (multiplicity 1)  3 Ta 2.57

Summary:
Formation energy without anion corrections   -268 meV/atom